(1)
Below is a relaxed AgTeAs2 crystal, with properties calculated at the GGA-PBEsol level.

Values from the calculation:
Raw formation energy: 0.233 eV per atom
Uncorrected energy: -0.14808 hartree per atom

abc: 3.454 3.454 7.170
angles: 90.00 90.00 90.00
Element x y z (fractional)
As (0.000, 0.000, 0.022)
Te (0.000, 0.000, 0.533)
Ag (0.500, 0.500, 0.776)
As (0.500, 0.500, 0.169)


(2)
Below is a relaxed AgTeAs2 crystal, with properties calculated at the GGA-PBEsol level.

Values from the calculation:
Raw formation energy: 0.046 eV per atom
Uncorrected energy: -0.15495 hartree per atom

abc: 3.820 4.188 6.251
angles: 109.54 107.79 90.00
Element x y z (fractional)
Ag (0.000, 0.000, 0.000)
As (0.242, 0.298, 0.484)
As (0.758, 0.702, 0.516)
Te (0.500, 0.500, 0.000)